This record from Alexandria describes In3Pd2 after structural relaxation. The functional is PBE-GGA.

## Properties
Calculated volume in A^3/atom: 20.58
Size of the total moment in μB per cell: 0.0
E_form in eV/atom: -0.464
Theoretical density in g/cm³: 9.0
N(E_F) in states/eV/atom: 0.3665

Cell: 4.626 4.626 5.551 Å, 90.00 90.00 120.00°
Fractional positions:
In 0.000 0.000 0.000
In 0.333 0.667 0.645
In 0.667 0.333 0.355
Pd 0.333 0.667 0.149
Pd 0.667 0.333 0.851

---

This record from Alexandria describes ReSbBr4 after structural relaxation. The functional is PBE-GGA.

## Properties
Calculated volume in A^3/atom: 27.94
Size of the total moment in μB per cell: 4.4
Raw formation energy in kJ/mol of formula units: 848
Theoretical density in g/cm³: 6.2
N(E_F) in states/eV/atom: 1.1970

Cell: 6.189 6.189 6.189 Å, 60.00 60.00 60.00°
Fractional positions:
Re 0.000 0.000 0.000
Sb 0.750 0.750 0.750
Br 0.375 0.375 0.375
Br 0.375 0.375 0.876
Br 0.375 0.876 0.375
Br 0.876 0.375 0.375

---

This record from Alexandria describes Zr4TlIr after structural relaxation. The functional is PBE-GGA.

## Properties
Calculated volume in A^3/atom: 21.22
Size of the total moment in μB per cell: 0.0
E_form in eV/atom: 0.300
Theoretical density in g/cm³: 9.9
N(E_F) in states/eV/atom: 1.1745

Cell: 5.646 5.646 5.646 Å, 60.00 60.00 60.00°
Fractional positions:
Zr 0.124 0.124 0.124
Zr 0.124 0.124 0.627
Zr 0.124 0.627 0.124
Zr 0.627 0.124 0.124
Tl 0.500 0.500 0.500
Ir 0.750 0.750 0.750

---

This record from Alexandria describes LiZnAgIr after structural relaxation. The functional is PBE-GGA.

## Properties
Calculated volume in A^3/atom: 14.23
Size of the total moment in μB per cell: 0.0
E_form in eV/atom: -0.089
Theoretical density in g/cm³: 10.9
N(E_F) in states/eV/atom: 0.4805

Cell: 4.318 4.318 4.318 Å, 60.00 60.00 60.00°
Fractional positions:
Li 0.000 0.000 0.000
Zn 0.500 0.500 0.500
Ag 0.250 0.250 0.250
Ir 0.750 0.750 0.750

---

This record from Alexandria describes CaAc8Ni5 after structural relaxation. The functional is PBE-GGA.

## Properties
Calculated volume in A^3/atom: 34.61
Size of the total moment in μB per cell: 0.0
E_form in eV/atom: -0.158
Theoretical density in g/cm³: 7.4
N(E_F) in states/eV/atom: 0.8799

Cell: 11.377 11.377 10.355 Å, 103.73 103.73 21.87°
Fractional positions:
Ca 0.000 0.000 0.000
Ac 0.069 0.069 0.665
Ac 0.253 0.253 0.334
Ac 0.327 0.327 0.016
Ac 0.404 0.404 0.646
Ac 0.596 0.596 0.354
Ac 0.673 0.673 0.984
Ac 0.747 0.747 0.666
Ac 0.931 0.931 0.335
Ni 0.168 0.168 0.525
Ni 0.204 0.204 0.815
Ni 0.500 0.500 0.500
Ni 0.796 0.796 0.185
Ni 0.832 0.832 0.475

---

This record from Alexandria describes AcGa2HgPd5 after structural relaxation. The functional is PBE-GGA.

## Properties
Calculated volume in A^3/atom: 19.51
Size of the total moment in μB per cell: 0.0
E_form in eV/atom: -0.450
Theoretical density in g/cm³: 10.4
N(E_F) in states/eV/atom: 0.4647

Cell: 4.775 4.775 7.702 Å, 90.00 90.00 90.00°
Fractional positions:
Ac 0.000 0.000 0.000
Ga 0.500 0.500 0.340
Ga 0.500 0.500 0.660
Hg 0.000 0.000 0.500
Pd 0.000 0.500 0.261
Pd 0.000 0.500 0.739
Pd 0.500 0.000 0.261
Pd 0.500 0.000 0.739
Pd 0.500 0.500 0.000

---

This record from Alexandria describes SrGe3Au3 after structural relaxation. The functional is PBE-GGA.

## Properties
Calculated volume in A^3/atom: 26.01
Size of the total moment in μB per cell: 0.0
Excess energy over the best structure of this formula in the dataset in eV/atom: 0.088
E_form in eV/atom: -0.197
Theoretical density in g/cm³: 8.2
N(E_F) in states/eV/atom: 0.4081

Cell: 8.447 8.447 8.447 Å, 53.77 53.77 53.77°
Fractional positions:
Sr 0.167 0.167 0.167
Sr 0.833 0.833 0.833
Ge 0.085 0.395 0.710
Ge 0.290 0.915 0.605
Ge 0.395 0.710 0.085
Ge 0.605 0.290 0.915
Ge 0.710 0.085 0.395
Ge 0.915 0.605 0.290
Au 0.041 0.744 0.396
Au 0.256 0.604 0.959
Au 0.396 0.041 0.744
Au 0.604 0.959 0.256
Au 0.744 0.396 0.041
Au 0.959 0.256 0.604

---

This record from Alexandria describes Mn2Ge2Os after structural relaxation. The functional is PBE-GGA.

## Properties
Calculated volume in A^3/atom: 14.60
Size of the total moment in μB per cell: 14.2
E_form in eV/atom: 0.100
Theoretical density in g/cm³: 10.1
N(E_F) in states/eV/atom: 0.6413

Cell: 6.516 6.516 3.440 Å, 90.00 90.00 90.00°
Fractional positions:
Mn 0.157 0.343 0.000
Mn 0.343 0.843 0.000
Mn 0.657 0.157 0.000
Mn 0.843 0.657 0.000
Ge 0.142 0.642 0.500
Ge 0.358 0.142 0.500
Ge 0.642 0.858 0.500
Ge 0.858 0.358 0.500
Os 0.000 0.000 0.500
Os 0.500 0.500 0.500

---

This record from Alexandria describes K2Ca2Hg after structural relaxation. The functional is PBE-GGA.

## Properties
Calculated volume in A^3/atom: 47.92
Size of the total moment in μB per cell: 0.0
E_form in eV/atom: -0.008
Theoretical density in g/cm³: 2.5
N(E_F) in states/eV/atom: 0.7525

Cell: 8.231 8.231 7.073 Å, 90.00 90.00 90.00°
Fractional positions:
K 0.177 0.323 0.000
K 0.323 0.823 0.000
K 0.677 0.177 0.000
K 0.823 0.677 0.000
Ca 0.165 0.665 0.500
Ca 0.335 0.165 0.500
Ca 0.665 0.835 0.500
Ca 0.835 0.335 0.500
Hg 0.000 0.000 0.500
Hg 0.500 0.500 0.500

---

This record from Alexandria describes MnCoAs2 after structural relaxation. The functional is PBE-GGA.

## Properties
Calculated volume in A^3/atom: 15.09
Size of the total moment in μB per cell: 4.8
Excess energy over the best structure of this formula in the dataset in eV/atom: 0.468
E_form in eV/atom: 0.359
Theoretical density in g/cm³: 7.3
N(E_F) in states/eV/atom: 0.7944

Cell: 4.403 4.403 4.403 Å, 60.00 60.00 60.00°
Fractional positions:
Mn 0.000 0.000 0.000
Co 0.750 0.750 0.750
As 0.250 0.250 0.250
As 0.500 0.500 0.500

---

This record from Alexandria describes HfZn2Pt2 after structural relaxation. The functional is PBE-GGA.

## Properties
Calculated volume in A^3/atom: 15.97
Size of the total moment in μB per cell: 0.0
Excess energy over the best structure of this formula in the dataset in eV/atom: 0.089
E_form in eV/atom: -0.624
Theoretical density in g/cm³: 14.5
N(E_F) in states/eV/atom: 0.4165

Cell: 7.503 7.503 2.837 Å, 90.00 90.00 90.00°
Fractional positions:
Hf 0.000 0.000 0.000
Hf 0.500 0.500 0.000
Zn 0.117 0.383 0.000
Zn 0.383 0.883 0.000
Zn 0.617 0.117 0.000
Zn 0.883 0.617 0.000
Pt 0.181 0.681 0.500
Pt 0.319 0.181 0.500
Pt 0.681 0.819 0.500
Pt 0.819 0.319 0.500

---

This record from Alexandria describes Er3Ni2Au after structural relaxation. The functional is PBE-GGA.

## Properties
Calculated volume in A^3/atom: 21.25
Size of the total moment in μB per cell: 0.0
E_form in eV/atom: -0.551
Theoretical density in g/cm³: 10.6
N(E_F) in states/eV/atom: 0.7170

Cell: 3.967 9.039 7.111 Å, 90.00 90.00 90.00°
Fractional positions:
Er 0.000 0.073 0.000
Er 0.000 0.927 0.500
Er 0.500 0.233 0.366
Er 0.500 0.380 0.828
Er 0.500 0.620 0.328
Er 0.500 0.767 0.866
Ni 0.000 0.224 0.641
Ni 0.000 0.776 0.141
Ni 0.500 0.070 0.721
Ni 0.500 0.930 0.221
Au 0.000 0.417 0.139
Au 0.000 0.583 0.639